An optimized crystal structure of RhPbSe2, computed with PBE.

Computed properties:
Its formation energy (no corrections) is -45 meV per atom. The calculated volume is 22.9 Å³/atom. The value obtained for the density of states at the Fermi level is 2.5 states/eV/cell.

abc: 3.7359 3.7359 6.5573
angles: 90.00 90.00 90.00
Last column: nearest neighbours and their distance in Å.
Element x y z (fractional)
Pb (0.0000, 0.0000, 0.4484)  5 Se 2.95-3.16
Rh (0.5000, 0.5000, 0.8739)  5 Se 2.45-2.67
Se (0.0000, 0.0000, 0.9297)  4 Rh 2.67
Se (0.5000, 0.5000, 0.2480)  1 Rh 2.45